12
Lattice="3.586 -6.211 0.000 3.586 6.211 0.000 -2.389 0.000 6.763" Properties=species:S:1:pos:R:3 comment="GGA-PBE TbPa5Ge6, relaxed" final_energy_ev_per_atom=-7.15 dos_at_fermi_per_ev_atom=1.156 delta_e_f_ev_per_atom=-0.50 pbc="T T T"
Tb 0.000 0.000 0.000
Pa 2.391 4.148 3.382
Pa 3.586 2.072 0.000
Pa 2.391 0.000 3.382
Pa 3.586 -2.072 0.000
Pa 2.391 -4.148 3.382
Ge 1.209 2.094 1.703
Ge 0.027 0.000 5.059
Ge 1.209 -2.094 1.703
Ge 3.573 2.094 5.060
Ge 4.755 0.000 1.705
Ge 3.573 -2.094 5.060